# 1
This record from Alexandria describes a geometry-optimized LaBeMo2 structure. The functional is PBE.

Lattice parameters (Å, degrees): 8.536 8.536 8.536 21.52 21.52 21.52
Fractional coordinates of all 4 atoms:
La  0.000  0.000  0.000
Be  0.759  0.759  0.759
Mo  0.229  0.229  0.229
Mo  0.489  0.489  0.489

=====

# 2
This record from Alexandria describes a geometry-optimized LaBeMo structure. The functional is PBE.

Results
Distance to the lowest polymorph of the same formula = 0 meV per atom

Lattice parameters (Å, degrees): 5.650 5.650 5.650 145.38 145.38 49.77
Fractional coordinates of all 3 atoms:
La  0.000  0.000  0.000
Be  0.722  0.722  0.000
Mo  0.279  0.279  0.000

=====

# 3
This record from Alexandria describes a geometry-optimized LaBeMo2 structure. The functional is PBE.

Lattice parameters (Å, degrees): 5.485 5.485 2.704 90.00 90.00 117.31
Fractional coordinates of all 4 atoms:
La  0.000  0.000  0.000
Be  0.500  0.500  0.000
Mo  0.000  0.500  0.500
Mo  0.500  0.000  0.500

=====

# 4
This record from Alexandria describes a geometry-optimized La2BeMo structure. The functional is PBE.

Lattice parameters (Å, degrees): 4.925 4.925 4.925 60.00 60.00 60.00
Fractional coordinates of all 4 atoms:
La  0.000  0.000  0.000
La  0.250  0.250  0.250
Be  0.750  0.750  0.750
Mo  0.500  0.500  0.500

=====

# 5
This record from Alexandria describes a geometry-optimized LaBeMo2 structure. The functional is PBE.

Lattice parameters (Å, degrees): 3.518 4.300 5.281 90.00 102.92 90.00
Fractional coordinates of all 4 atoms:
La  0.000  0.000  0.000
Be  0.500  0.000  0.500
Mo  0.320  0.500  0.670
Mo  0.680  0.500  0.330

=====

# 6
This record from Alexandria describes a geometry-optimized LaBeMo2 structure. The functional is PBE.

Lattice parameters (Å, degrees): 5.226 5.226 5.226 143.31 123.86 68.96
Fractional coordinates of all 4 atoms:
La  0.000  0.000  0.000
Be  0.500  0.500  0.000
Mo  0.298  0.798  0.500
Mo  0.702  0.202  0.500

=====

One value per record, in order, for raw total energy: -28.1, -18.4, -26.8, -22.1, -28.3, -27.9 eV per cell.
One value per record, in order, for DFT formation energy: 2.2, 1.1, 3.5, 2.3, 2.0, 2.4 eV/f.u..